Record 1
Below is a relaxed structure of Hg2RuCl2, with properties calculated at the GGA-PBE level.

**ΔE_f (raw)**: 0.7444 eV per atom
**Energy**: -19.70 eV per cell
**Total magnetic moment**: 2.1 μB/f.u.

The structure in CIF format:
```
data_Hg2RuCl2
_symmetry_space_group_name_H-M 'I 4/m m m'
_symmetry_Int_Tables_number 139
_symmetry_space_group_name_Hall '-I 4 2'
_cell_length_a 4.3295
_cell_length_b 4.3295
_cell_length_c 12.7394
_cell_angle_alpha 90.00
_cell_angle_beta 90.00
_cell_angle_gamma 90.00
loop_
_atom_site_label
_atom_site_type_symbol
_atom_site_fract_x
_atom_site_fract_y
_atom_site_fract_z
Hg1 Hg 0.0000 0.0000 0.1073
Ru1 Ru 0.0000 0.0000 0.5000
Cl1 Cl 0.0000 0.5000 0.2500
```

=====

Record 2
Below is a relaxed structure of InSb2Os, with properties calculated at the GGA-PBE level.

**ΔE_f (raw)**: 0.7687 eV per atom
**Energy**: -19.14 eV per cell
**Total magnetic moment**: 0.0 μB/f.u.

The structure in CIF format:
```
data_InSb2Os
_symmetry_space_group_name_H-M 'P m m m'
_symmetry_Int_Tables_number 47
_cell_length_a 3.5458
_cell_length_b 4.8376
_cell_length_c 5.0881
_cell_angle_alpha 90.00
_cell_angle_beta 90.00
_cell_angle_gamma 90.00
loop_
_symmetry_equiv_pos_as_xyz
'x,y,z'
'-x,-y,-z'
'-x,-y,z'
'x,y,-z'
'x,-y,-z'
'-x,y,z'
'-x,y,-z'
'x,-y,z'
loop_
_atom_site_label
_atom_site_type_symbol
_atom_site_fract_x
_atom_site_fract_y
_atom_site_fract_z
In1 In 0.0000 0.0000 0.0000
Sb1 Sb 0.0000 0.5000 0.5000
Sb2 Sb 0.5000 0.0000 0.5000
Os1 Os 0.5000 0.5000 0.0000
```

=====

Record 3
Below is a relaxed structure of Ta2FeRh, with properties calculated at the GGA-PBE level.

**Energy**: -40.49 eV per cell
**Total magnetic moment**: 0.0 μB/f.u.

The structure in CIF format:
```
data_Ta2FeRh
_symmetry_space_group_name_H-M 'P 1 m 1'
_symmetry_Int_Tables_number 6
_cell_length_a 3.0106
_cell_length_b 4.1901
_cell_length_c 5.1323
_cell_angle_alpha 90.00
_cell_angle_beta 106.26
_cell_angle_gamma 90.00
loop_
_symmetry_equiv_pos_as_xyz
'x,y,z'
'x,-y,z'
loop_
_atom_site_label
_atom_site_type_symbol
_atom_site_fract_x
_atom_site_fract_y
_atom_site_fract_z
Ta1 Ta 0.0000 0.0000 0.0000
Ta2 Ta 0.2863 0.5000 0.5955
Fe1 Fe 0.5431 0.5000 0.0882
Rh1 Rh 0.7195 0.0000 0.4554
```

=====

Record 4
Below is a relaxed structure of Na2LiPt, with properties calculated at the GGA-PBE level.

**E above lowest polymorph**: 0.0000 eV per atom
**Energy**: -43.40 eV per cell
**Total magnetic moment**: 0.0 μB/f.u.

The structure in CIF format:
```
data_Na2LiPt
_symmetry_space_group_name_H-M 'F m -3 m'
_symmetry_Int_Tables_number 225
_symmetry_space_group_name_Hall '-F 4 2 3'
_cell_length_a 6.8498
_cell_length_b 6.8498
_cell_length_c 6.8498
_cell_angle_alpha 90.00
_cell_angle_beta 90.00
_cell_angle_gamma 90.00
loop_
_atom_site_label
_atom_site_type_symbol
_atom_site_fract_x
_atom_site_fract_y
_atom_site_fract_z
Na1 Na 0.2500 0.2500 0.2500
Li1 Li 0.0000 0.0000 0.0000
Pt1 Pt 0.0000 0.0000 0.5000
```